LaCe2Cd8 | GGA-PBE | optimized geometry

- magnetic moment (μB per formula unit) = 1.672
- VASP energy (eV per atom) = -2.41

Unit cell a=5.396 b=6.596 c=9.079 alpha=111.29 beta=107.27 gamma=90.04
Atoms (fractional coordinates):
Cd  0.872  0.101  0.744
La  0.500  0.000  0.000
Cd  0.127  0.356  0.256
Ce  0.309  0.309  0.617
Cd  0.703  0.203  0.406
Cd  0.128  0.899  0.256
Cd  0.749  0.500  0.000
Cd  0.251  0.500  0.000
Ce  0.691  0.691  0.383
Cd  0.297  0.797  0.594
Cd  0.873  0.644  0.744